Entry 1:
# Te2PbNF, relaxed, DFT GGA-PBE
data_Te2PbNF
_chemical_formula_sum 'Te2 Pb1 N1 F1'
_space_group_name_H-M_alt 'P 1'
_space_group_IT_number 1
_cell_length_a 6.085
_cell_length_b 6.085
_cell_length_c 4.393
_cell_angle_alpha 90.00
_cell_angle_beta 90.00
_cell_angle_gamma 90.00
loop_
_space_group_symop_operation_xyz
'x,y,z'
loop_
_atom_site_label
_atom_site_fract_x
_atom_site_fract_y
_atom_site_fract_z
Pb1 0.000 0.000 0.000
N1 0.000 0.000 0.500
Te1 0.000 0.500 0.000
Te2 0.500 0.000 0.000
F1 0.500 0.500 0.500
# Magnetic moment (μB/f.u.): 4.59
# Energy above the lowest structure with this stoichiometry (meV/atom): 234.3
# Space-group type: P4/mmm, No. 123

***

Entry 2:
# Si3Hg, relaxed, DFT GGA-PBE
data_Si3Hg
_chemical_formula_sum 'Si3 Hg1'
_space_group_name_H-M_alt 'P 1'
_space_group_IT_number 1
_cell_length_a 5.433
_cell_length_b 5.433
_cell_length_c 2.829
_cell_angle_alpha 90.00
_cell_angle_beta 90.00
_cell_angle_gamma 120.11
loop_
_space_group_symop_operation_xyz
'x,y,z'
loop_
_atom_site_label
_atom_site_fract_x
_atom_site_fract_y
_atom_site_fract_z
Hg1 0.000 0.000 0.000
Si1 0.000 0.500 0.500
Si2 0.500 0.000 0.500
Si3 0.500 0.500 0.000
# Magnetic moment (μB/f.u.): 0.00
# Energy above the lowest structure with this stoichiometry (meV/atom): 276.8
# Space-group type: Cmmm, No. 65

***

Entry 3:
# Cd4CoHg, relaxed, DFT GGA-PBE
data_Cd4CoHg
_chemical_formula_sum 'Cd4 Co1 Hg1'
_space_group_name_H-M_alt 'P 1'
_space_group_IT_number 1
_cell_length_a 5.669
_cell_length_b 5.669
_cell_length_c 5.669
_cell_angle_alpha 60.00
_cell_angle_beta 60.00
_cell_angle_gamma 60.00
loop_
_space_group_symop_operation_xyz
'x,y,z'
loop_
_atom_site_label
_atom_site_fract_x
_atom_site_fract_y
_atom_site_fract_z
Cd1 0.873 0.376 0.376
Cd2 0.376 0.376 0.873
Cd3 0.376 0.873 0.376
Cd4 0.376 0.376 0.376
Co1 0.750 0.750 0.750
Hg1 0.000 0.000 0.000
# Magnetic moment (μB/f.u.): 1.61
# ΔE_f (meV/atom): 471
# Space-group type: F-43m, No. 216

***

Entry 4:
# BaMgSi2, relaxed, DFT GGA-PBE
data_BaMgSi2
_chemical_formula_sum 'Ba1 Mg1 Si2'
_space_group_name_H-M_alt 'P 1'
_space_group_IT_number 1
_cell_length_a 6.915
_cell_length_b 6.915
_cell_length_c 6.915
_cell_angle_alpha 148.25
_cell_angle_beta 142.28
_cell_angle_gamma 50.11
loop_
_space_group_symop_operation_xyz
'x,y,z'
loop_
_atom_site_label
_atom_site_fract_x
_atom_site_fract_y
_atom_site_fract_z
Ba1 0.538 0.538 0.000
Mg1 0.280 0.780 0.500
Si1 0.904 0.904 0.000
Si2 0.779 0.279 0.500
# Magnetic moment (μB/f.u.): 0.01
# Electronic total energy (eV/atom): -3.759
# Space-group type: Imm2, No. 44

***

Entry 5:
# Mg3ZnCu2, relaxed, DFT GGA-PBE
data_Mg3ZnCu2
_chemical_formula_sum 'Mg6 Zn2 Cu4'
_space_group_name_H-M_alt 'P 1'
_space_group_IT_number 1
_cell_length_a 7.349
_cell_length_b 7.349
_cell_length_c 4.966
_cell_angle_alpha 90.00
_cell_angle_beta 90.00
_cell_angle_gamma 127.12
loop_
_space_group_symop_operation_xyz
'x,y,z'
loop_
_atom_site_label
_atom_site_fract_x
_atom_site_fract_y
_atom_site_fract_z
Zn1 0.649 0.351 0.250
Zn2 0.351 0.649 0.750
Mg1 0.088 0.912 0.250
Mg2 0.912 0.088 0.750
Mg3 0.078 0.436 0.250
Mg4 0.922 0.564 0.750
Mg5 0.564 0.922 0.250
Mg6 0.436 0.078 0.750
Cu1 0.315 0.315 0.000
Cu2 0.685 0.685 0.500
Cu3 0.685 0.685 0.000
Cu4 0.315 0.315 0.500
# Magnetic moment (μB/f.u.): 0.00
# ΔE_f (meV/atom): -32
# Energy above the lowest structure with this stoichiometry (meV/atom): 64.1
# Space-group type: Cmcm, No. 63

***

Entry 6:
# In2CoNi, relaxed, DFT GGA-PBE
data_In2CoNi
_chemical_formula_sum 'In2 Co1 Ni1'
_space_group_name_H-M_alt 'P 1'
_space_group_IT_number 1
_cell_length_a 8.289
_cell_length_b 8.289
_cell_length_c 8.289
_cell_angle_alpha 21.35
_cell_angle_beta 21.35
_cell_angle_gamma 21.35
loop_
_space_group_symop_operation_xyz
'x,y,z'
loop_
_atom_site_label
_atom_site_fract_x
_atom_site_fract_y
_atom_site_fract_z
Co1 0.750 0.750 0.750
In1 0.000 0.000 0.000
In2 0.500 0.500 0.500
Ni1 0.250 0.250 0.250
# Magnetic moment (μB/f.u.): 0.75
# ΔE_f (meV/atom): 231
# Energy above the lowest structure with this stoichiometry (meV/atom): 205.6
# Space-group type: R-3m, No. 166

***

Entry 7:
# NdSm3DySc, relaxed, DFT GGA-PBE
data_NdSm3DySc
_chemical_formula_sum 'Nd2 Sm6 Dy2 Sc2'
_space_group_name_H-M_alt 'P 1'
_space_group_IT_number 1
_cell_length_a 5.014
_cell_length_b 7.959
_cell_length_c 10.117
_cell_angle_alpha 90.00
_cell_angle_beta 90.00
_cell_angle_gamma 108.36
loop_
_space_group_symop_operation_xyz
'x,y,z'
loop_
_atom_site_label
_atom_site_fract_x
_atom_site_fract_y
_atom_site_fract_z
Nd1 0.496 0.992 0.750
Nd2 0.504 0.008 0.250
Sm1 0.667 0.334 0.499
Sm2 0.333 0.666 0.501
Sm3 0.333 0.666 0.999
Sm4 0.667 0.334 0.001
Sm5 0.169 0.339 0.750
Sm6 0.831 0.661 0.250
Dy1 0.000 0.000 0.500
Dy2 0.000 0.000 0.000
Sc1 0.833 0.665 0.750
Sc2 0.167 0.335 0.250
# Magnetic moment (μB/f.u.): 0.00
# ΔE_f (meV/atom): 37
# Space-group type: Cmcm, No. 63

***

Entry 8:
# AcCd2Pb2, relaxed, DFT GGA-PBE
data_AcCd2Pb2
_chemical_formula_sum 'Ac2 Cd4 Pb4'
_space_group_name_H-M_alt 'P 1'
_space_group_IT_number 1
_cell_length_a 4.873
_cell_length_b 4.885
_cell_length_c 12.559
_cell_angle_alpha 90.00
_cell_angle_beta 101.19
_cell_angle_gamma 90.00
loop_
_space_group_symop_operation_xyz
'x,y,z'
loop_
_atom_site_label
_atom_site_fract_x
_atom_site_fract_y
_atom_site_fract_z
Ac1 0.357 0.250 0.715
Ac2 0.643 0.750 0.285
Cd1 0.040 0.750 0.079
Cd2 0.464 0.750 0.929
Cd3 0.960 0.250 0.921
Cd4 0.536 0.250 0.071
Pb1 0.751 0.250 0.501
Pb2 0.249 0.750 0.499
Pb3 0.874 0.750 0.748
Pb4 0.126 0.250 0.252
# Magnetic moment (μB/f.u.): 0.00
# ΔE_f (meV/atom): -276
# Space-group type: Cmcm, No. 63

***

no.,DOS at the Fermi energy (states/eV/f.u.)
1,3.2
2,1.6
3,7.5
4,2.2
5,1.7
6,3.3
7,9.1
8,2.9